Entry 1:
Material: Sr6AsS2Br3
Method: DFT, PBE-GGA
State: optimized geometry

```
Sr6AsS2Br3
1.0
3.824 -6.626 0.000
3.824 6.626 0.000
-2.547 0.000 7.340
Sr As S Br
6 1 2 3
Cartesian
-0.009 2.227 5.740
1.254 0.000 1.604
-0.009 -2.227 5.740
5.109 2.227 1.599
3.846 0.000 5.736
5.109 -2.227 1.599
3.824 0.000 0.000
3.824 4.418 0.000
3.824 -4.418 0.000
-1.274 0.000 3.670
2.550 2.205 3.670
2.550 -2.205 3.670
```

## Properties
VASP energy, eV/f.u.: -48.66
Uncorrected formation energy, eV per atom: -1.72
Crystal system: monoclinic

=====

Entry 2:
Material: SrAs2SBr
Method: DFT, PBE-GGA
State: optimized geometry

```
SrAs2SBr
1.0
4.715 0.000 0.000
0.000 4.715 0.000
0.000 0.000 6.654
Sr As S Br
1 2 1 1
Cartesian
0.000 0.000 0.000
0.000 2.357 3.327
2.357 0.000 3.327
2.357 2.357 3.327
2.357 2.357 0.000
```

## Properties
VASP energy, eV/f.u.: -18.12
Uncorrected formation energy, eV per atom: -0.27
Crystal system: tetragonal

=====

Entry 3:
Material: Sr8As3SBr4
Method: DFT, PBE-GGA
State: optimized geometry

```
Sr8As3SBr4
1.0
4.514 2.606 7.424
-4.514 2.606 7.424
0.000 -5.212 7.424
Sr As S Br
8 3 1 4
Cartesian
-2.264 -1.307 12.728
0.000 0.000 5.323
0.000 -2.614 9.543
-2.264 1.307 9.543
2.264 -1.307 12.728
0.000 2.614 12.728
0.000 0.000 16.948
2.264 1.307 9.543
-4.514 0.000 11.136
-2.257 1.303 3.712
2.257 1.303 3.712
0.000 0.000 11.136
0.000 0.000 0.000
-2.257 -1.303 7.424
-2.257 1.303 14.847
0.000 2.606 7.424
```

## Properties
VASP energy, eV/f.u.: -64.46
Uncorrected formation energy, eV per atom: -1.64
Crystal system: trigonal

=====

Entry 4:
Material: SrAsSBr2
Method: DFT, PBE-GGA
State: optimized geometry

```
SrAsSBr2
1.0
5.681 0.000 0.000
0.000 5.681 0.000
0.000 0.000 6.624
Sr As S Br
1 1 1 2
Cartesian
0.000 0.000 0.000
0.000 0.000 3.312
2.840 2.840 3.312
0.000 2.840 0.000
2.840 0.000 0.000
```

## Properties
VASP energy, eV/f.u.: -13.22
Uncorrected formation energy, eV per atom: 0.12
Crystal system: tetragonal

=====

Entry 5:
Material: SrAsSBr2
Method: DFT, PBE-GGA
State: optimized geometry

```
SrAsSBr2
1.0
5.330 0.000 0.000
0.000 5.330 0.000
0.000 0.000 4.989
Sr As S Br
1 1 1 2
Cartesian
0.000 0.000 0.000
2.665 2.665 0.000
2.665 2.665 2.495
0.000 2.665 2.495
2.665 0.000 2.495
```

## Properties
VASP energy, eV/f.u.: -15.66
Uncorrected formation energy, eV per atom: -0.37
Crystal system: tetragonal

=====

Entry 6:
Material: Sr4AsS2Br
Method: DFT, PBE-GGA
State: optimized geometry

```
Sr4AsS2Br
1.0
-3.103 3.103 6.285
3.103 -3.103 6.285
3.103 3.103 -6.285
Sr As S Br
4 1 2 1
Cartesian
3.103 0.000 0.000
0.000 0.000 2.982
0.000 3.103 0.000
0.000 0.000 9.587
0.000 0.000 0.000
3.103 0.000 3.142
0.000 3.103 3.142
0.000 0.000 6.285
```

## Properties
VASP energy, eV/f.u.: -35.94
Uncorrected formation energy, eV per atom: -1.83
Crystal system: tetragonal

=====

Entry 7:
Material: SrAs2SBr
Method: DFT, PBE-GGA
State: optimized geometry

```
SrAs2SBr
1.0
6.388 0.000 0.000
0.000 6.388 0.000
0.000 0.000 5.892
Sr As S Br
1 2 1 1
Cartesian
0.000 0.000 0.000
0.000 3.194 0.000
3.194 0.000 0.000
3.194 3.194 2.946
0.000 0.000 2.946
```

## Properties
VASP energy, eV/f.u.: -12.83
Uncorrected formation energy, eV per atom: 0.79
Crystal system: tetragonal

=====

Entry 8:
Material: TaAs2SBr
Method: DFT, PBE-GGA
State: optimized geometry

```
TaAs2SBr
1.0
5.073 0.000 0.000
0.000 5.073 0.000
0.000 0.000 4.903
Ta As S Br
1 2 1 1
Cartesian
0.000 0.000 0.000
0.000 2.536 0.000
2.536 0.000 0.000
2.536 2.536 2.452
0.000 0.000 2.452
```

## Properties
VASP energy, eV/f.u.: -24.42
Uncorrected formation energy, eV per atom: 0.51
Crystal system: tetragonal

=====

Entry 9:
Material: TaAs2SBr
Method: DFT, PBE-GGA
State: optimized geometry

```
TaAs2SBr
1.0
4.722 0.000 0.000
0.000 4.722 0.000
0.000 0.000 4.879
Ta As S Br
1 2 1 1
Cartesian
0.000 0.000 0.000
0.000 2.361 2.439
2.361 0.000 2.439
2.361 2.361 2.439
2.361 2.361 0.000
```

## Properties
VASP energy, eV/f.u.: -21.20
Uncorrected formation energy, eV per atom: 1.15
Crystal system: tetragonal

=====

Entry 10:
Material: TeAsSBr2
Method: DFT, PBE-GGA
State: optimized geometry

```
TeAsSBr2
1.0
5.378 0.000 0.000
0.000 5.378 0.000
0.000 0.000 5.806
Te As S Br
1 1 1 2
Cartesian
0.000 0.000 0.000
0.000 0.000 2.903
2.689 2.689 2.903
0.000 2.689 0.000
2.689 0.000 0.000
```

## Properties
VASP energy, eV/f.u.: -11.39
Uncorrected formation energy, eV per atom: 0.78
Crystal system: tetragonal

=====

Entry 11:
Material: TeAs2SBr
Method: DFT, PBE-GGA
State: optimized geometry

```
TeAs2SBr
1.0
5.493 0.000 0.000
0.000 5.493 0.000
0.000 0.000 5.340
Te As S Br
1 2 1 1
Cartesian
0.000 0.000 0.000
0.000 2.747 0.000
2.747 0.000 0.000
2.747 2.747 2.670
0.000 0.000 2.670
```

## Properties
VASP energy, eV/f.u.: -12.84
Uncorrected formation energy, eV per atom: 1.08
Crystal system: tetragonal

=====

Entry 12:
Material: TeAsSBr2
Method: DFT, PBE-GGA
State: optimized geometry

```
TeAsSBr2
1.0
4.803 0.000 0.000
0.000 4.803 0.000
0.000 0.000 5.848
Te As S Br
1 1 1 2
Cartesian
0.000 0.000 0.000
2.401 2.401 0.000
2.401 2.401 2.924
0.000 2.401 2.924
2.401 0.000 2.924
```

## Properties
VASP energy, eV/f.u.: -12.49
Uncorrected formation energy, eV per atom: 0.56
Crystal system: tetragonal